Entry 1:
Below is a relaxed structure of CoCuPbSe3, with properties calculated at the PBE level.

abc: 6.967 6.967 9.643
angles: 90.00 90.00 149.31
Each line ends with the local moment (μB).
Sites, in units of the cell vectors:
Co (0.000, 0.000, 0.000)  0.23
Co (0.000, 0.000, 0.500)  0.22
Cu (0.454, 0.546, 0.250)  0.01
Cu (0.546, 0.454, 0.750)  0.01
Pb (0.760, 0.240, 0.250)  0.01
Pb (0.240, 0.760, 0.750)  0.01
Se (0.379, 0.621, 0.026)  -0.01
Se (0.069, 0.931, 0.250)  0.01
Se (0.379, 0.621, 0.474)  -0.01
Se (0.621, 0.379, 0.526)  -0.01
Se (0.931, 0.069, 0.750)  0.01
Se (0.621, 0.379, 0.974)  -0.01

Computed properties:
- Total DFT energy (no corrections): -4.330 eV/atom
- V: 119 Å³/f.u.

***

Entry 2:
Below is a relaxed structure of TaFeSiOs, with properties calculated at the PBE level.

abc: 4.272 4.272 4.272
angles: 60.00 60.00 60.00
Sites, in units of the cell vectors:
Fe (0.750, 0.750, 0.750)
Os (0.250, 0.250, 0.250)
Si (0.000, 0.000, 0.000)
Ta (0.500, 0.500, 0.500)

Computed properties:
- Total DFT energy (no corrections): -9.516 eV/atom
- V: 55 Å³/f.u.

***

Entry 3:
Below is a relaxed structure of LaPrBr6, with properties calculated at the PBE level.

abc: 9.260 6.810 6.810
angles: 35.88 90.00 90.00
Sites, in units of the cell vectors:
Br (0.316, 0.146, 0.146)
Br (0.684, 0.146, 0.146)
Br (0.500, 0.416, 0.416)
Br (0.000, 0.583, 0.583)
Br (0.186, 0.855, 0.855)
Br (0.814, 0.855, 0.855)
La (0.000, 0.243, 0.243)
Pr (0.500, 0.757, 0.757)

Computed properties:
- Total DFT energy (no corrections): -4.400 eV/atom
- V: 252 Å³/f.u.

***

Entry 4:
Below is a relaxed structure of HoHfTlC, with properties calculated at the PBE level.

abc: 3.443 3.443 15.575
angles: 90.00 90.00 120.00
Sites, in units of the cell vectors:
C (0.000, 0.000, 0.231)
C (0.000, 0.000, 0.769)
Hf (0.333, 0.667, 0.161)
Hf (0.333, 0.667, 0.839)
Ho (0.667, 0.333, 0.326)
Ho (0.667, 0.333, 0.674)
Tl (0.667, 0.333, 0.000)
Tl (0.333, 0.667, 0.500)

Computed properties:
- Total DFT energy (no corrections): -7.031 eV/atom
- V: 80 Å³/f.u.

***

Entry 5:
Below is a relaxed structure of ErW, with properties calculated at the PBE level.

abc: 4.068 4.068 4.068
angles: 60.00 60.00 60.00
Sites, in units of the cell vectors:
Er (0.000, 0.000, 0.000)
W (0.500, 0.500, 0.500)

Computed properties:
- V: 48 Å³/f.u.
- DFT formation energy: 1.727 eV per atom

***

Entry 6:
Below is a relaxed structure of Co7Ni8, with properties calculated at the PBE level.

abc: 8.552 8.552 4.488
angles: 90.00 90.00 90.00
Each line ends with the local moment (μB).
Sites, in units of the cell vectors:
Co (0.000, 0.000, 0.000)  1.61
Co (0.403, 0.403, 0.000)  1.77
Co (0.597, 0.597, 0.000)  1.77
Co (0.680, 0.320, 0.249)  1.73
Co (0.320, 0.680, 0.249)  1.72
Co (0.180, 0.180, 0.251)  1.76
Co (0.820, 0.820, 0.251)  1.73
Co (0.903, 0.097, 0.500)  1.79
Co (0.500, 0.500, 0.500)  1.61
Co (0.097, 0.903, 0.500)  1.79
Co (0.180, 0.180, 0.749)  1.73
Co (0.820, 0.820, 0.749)  1.76
Co (0.680, 0.320, 0.751)  1.72
Co (0.320, 0.680, 0.751)  1.73
Ni (0.736, 0.067, 0.000)  0.62
Ni (0.460, 0.133, 0.000)  0.58
Ni (0.933, 0.264, 0.000)  0.58
Ni (0.133, 0.460, 0.000)  0.60
Ni (0.867, 0.540, 0.000)  0.60
Ni (0.067, 0.736, 0.000)  0.58
Ni (0.540, 0.867, 0.000)  0.58
Ni (0.264, 0.933, 0.000)  0.62
Ni (0.633, 0.040, 0.500)  0.61
Ni (0.433, 0.236, 0.500)  0.61
Ni (0.960, 0.367, 0.500)  0.59
Ni (0.236, 0.433, 0.500)  0.66
Ni (0.764, 0.567, 0.500)  0.66
Ni (0.040, 0.633, 0.500)  0.59
Ni (0.567, 0.764, 0.500)  0.61
Ni (0.367, 0.960, 0.500)  0.61

Computed properties:
- V: 164 Å³/f.u.
- DFT formation energy: 0.085 eV per atom

***

Entry 7:
Below is a relaxed structure of LiTaO3, with properties calculated at the PBE level.

abc: 5.207 5.207 5.575
angles: 62.16 62.16 60.00
Sites, in units of the cell vectors:
Li (0.857, 0.857, 0.428)
Li (0.143, 0.143, 0.572)
O (0.939, 0.544, 0.237)
O (0.280, 0.939, 0.237)
O (0.544, 0.280, 0.237)
O (0.456, 0.720, 0.763)
O (0.720, 0.061, 0.763)
O (0.061, 0.456, 0.763)
Ta (0.647, 0.647, 0.058)
Ta (0.353, 0.353, 0.942)

Computed properties:
- Total DFT energy (no corrections): -8.389 eV/atom
- V: 55 Å³/f.u.

***

Entry 8:
Below is a relaxed structure of HoLuAs, with properties calculated at the PBE level.

abc: 4.745 4.745 4.745
angles: 60.00 60.00 60.00
Sites, in units of the cell vectors:
As (0.000, 0.000, 0.000)
Ho (0.250, 0.250, 0.250)
Lu (0.750, 0.750, 0.750)

Computed properties:
- Total DFT energy (no corrections): -5.252 eV/atom
- V: 76 Å³/f.u.